[1]
Tb8Dy4Tm | PBE-GGA | relaxed

Lattice parameters (Å, degrees): 10.9321 10.9321 13.3240 90.00 90.00 120.00
Space group R-3m (No. 166, hexagonal axes)
Inequivalent atoms, fractional coordinates:
Tb 0.0000 0.0000 0.2407 [6 per cell]
Tb 0.0116 0.5058 0.7462 [18 per cell]
Dy 0.0000 0.0000 0.0000 [3 per cell]
Dy 0.0000 0.5000 0.0000 [9 per cell]
Tm 0.0000 0.0000 0.5000 [3 per cell]

Values from the calculation:
Electronic total energy   -4.115 eV per atom
Crystal system   trigonal
Spin magnetization   0.014 Bohr magnetons per cell
Calculated volume   35.4 Å³ per atom
ΔH_f (0 K)   47.71 kJ/mol of atoms



[2]
Tb2Dy7Tm3 | PBE-GGA | relaxed

Lattice parameters (Å, degrees): 5.644 37.283 3.570 90.00 90.00 90.00
Space group Cmmm (No. 65)
Inequivalent atoms, fractional coordinates:
Tb 0.000 0.148 0.000 [4 per cell]
Dy 0.000 0.000 0.000 [2 per cell]
Dy 0.000 0.072 0.500 [4 per cell]
Dy 0.000 0.231 0.000 [4 per cell]
Dy 0.000 0.409 0.000 [4 per cell]
Tm 0.000 0.315 0.500 [4 per cell]
Tm 0.000 0.500 0.500 [2 per cell]

Values from the calculation:
Electronic total energy   -4.459 eV per atom
Crystal system   orthorhombic
Spin magnetization   0.001 Bohr magnetons per cell
Calculated volume   31.3 Å³ per atom
ΔH_f (0 K)   11.14 kJ/mol of atoms
Offset from the most stable computed form   0.040 eV per atom



[3]
Tb3Dy6Tm2 | PBE-GGA | relaxed

Lattice parameters (Å, degrees): 4.696 4.696 32.967 90.00 90.00 90.00
Space group I4/mmm (No. 139)
Inequivalent atoms, fractional coordinates:
Tb 0.000 0.000 0.000 [2 per cell]
Tb 0.000 0.000 0.200 [4 per cell]
Dy 0.000 0.000 0.304 [4 per cell]
Dy 0.000 0.500 0.121 [8 per cell]
Tm 0.000 0.000 0.454 [4 per cell]

Values from the calculation:
Electronic total energy   -4.297 eV per atom
Crystal system   tetragonal
Spin magnetization   0.000 Bohr magnetons per cell
Calculated volume   33.1 Å³ per atom
ΔH_f (0 K)   27.90 kJ/mol of atoms
Offset from the most stable computed form   0.270 eV per atom



[4]
TbDy4Tm10 | PBE-GGA | relaxed

Lattice parameters (Å, degrees): 12.004 12.004 7.585 90.00 90.00 90.00
Space group I4/m (No. 87)
Inequivalent atoms, fractional coordinates:
Tb 0.000 0.000 0.000 [2 per cell]
Dy 0.100 0.301 0.500 [8 per cell]
Tm 0.000 0.500 0.250 [4 per cell]
Tm 0.100 0.800 0.251 [16 per cell]

Values from the calculation:
Electronic total energy   -3.779 eV per atom
Crystal system   tetragonal
Spin magnetization   0.000 Bohr magnetons per cell
Calculated volume   36.4 Å³ per atom
ΔH_f (0 K)   71.17 kJ/mol of atoms



[5]
Tb3Dy12Tm | PBE-GGA | relaxed

Lattice parameters (Å, degrees): 5.001 5.001 19.975 90.00 90.00 90.00
Space group P4/mmm (No. 123)
Inequivalent atoms, fractional coordinates:
Tb 0.000 0.000 0.000 [1 per cell]
Tb 0.000 0.000 0.251 [2 per cell]
Dy 0.000 0.500 0.125 [4 per cell]
Dy 0.000 0.500 0.376 [4 per cell]
Dy 0.500 0.500 0.000 [1 per cell]
Dy 0.500 0.500 0.251 [2 per cell]
Dy 0.500 0.500 0.500 [1 per cell]
Tm 0.000 0.000 0.500 [1 per cell]

Values from the calculation:
Electronic total energy   -4.581 eV per atom
Crystal system   tetragonal
Spin magnetization   0.000 Bohr magnetons per cell
Calculated volume   31.2 Å³ per atom
ΔH_f (0 K)   1.77 kJ/mol of atoms



[6]
Tb3DyTm12 | PBE-GGA | relaxed

Lattice parameters (Å, degrees): 4.946 4.946 19.796 90.00 90.00 90.00
Space group P4/mmm (No. 123)
Inequivalent atoms, fractional coordinates:
Tb 0.000 0.000 0.000 [1 per cell]
Tb 0.000 0.000 0.250 [2 per cell]
Dy 0.000 0.000 0.500 [1 per cell]
Tm 0.000 0.500 0.125 [4 per cell]
Tm 0.000 0.500 0.375 [4 per cell]
Tm 0.500 0.500 0.000 [1 per cell]
Tm 0.500 0.500 0.250 [2 per cell]
Tm 0.500 0.500 0.500 [1 per cell]

Values from the calculation:
Electronic total energy   -4.485 eV per atom
Crystal system   tetragonal
Spin magnetization   0.000 Bohr magnetons per cell
Calculated volume   30.3 Å³ per atom
ΔH_f (0 K)   2.34 kJ/mol of atoms



[7]
Tb5Dy2Tm2 | PBE-GGA | relaxed

Lattice parameters (Å, degrees): 14.997 4.992 7.901 90.00 108.46 90.00
Space group C2/m (No. 12)
Inequivalent atoms, fractional coordinates:
Tb 0.000 0.000 0.000 [2 per cell]
Tb 0.167 0.500 0.001 [4 per cell]
Tb 0.222 0.000 0.334 [4 per cell]
Dy 0.110 0.000 0.666 [4 per cell]
Tm 0.055 0.500 0.334 [4 per cell]

Values from the calculation:
Electronic total energy   -4.571 eV per atom
Crystal system   monoclinic
Spin magnetization   0.000 Bohr magnetons per cell
Calculated volume   31.2 Å³ per atom
ΔH_f (0 K)   1.70 kJ/mol of atoms
Offset from the most stable computed form   0.000 eV per atom



[8]
TbDy6Tm3 | PBE-GGA | relaxed

Lattice parameters (Å, degrees): 9.572 20.735 6.315 90.00 90.00 90.00
Space group Cmc2_1 (No. 36)
Inequivalent atoms, fractional coordinates:
Tb 0.000 0.161 0.000 [4 per cell]
Dy 0.000 0.015 0.196 [4 per cell]
Dy 0.000 0.301 0.227 [4 per cell]
Dy 0.176 0.281 0.687 [8 per cell]
Dy 0.181 0.441 0.443 [8 per cell]
Tm 0.000 0.419 0.919 [4 per cell]
Tm 0.169 0.126 0.525 [8 per cell]

Values from the calculation:
Electronic total energy   -4.440 eV per atom
Crystal system   orthorhombic
Spin magnetization   0.000 Bohr magnetons per cell
Calculated volume   31.3 Å³ per atom
ΔH_f (0 K)   12.16 kJ/mol of atoms
Offset from the most stable computed form   0.000 eV per atom



[9]
Tb6Dy7Tm16 | PBE-GGA | relaxed

Lattice parameters (Å, degrees): 15.553 15.553 15.553 90.00 90.00 90.00
Space group Fm-3m (No. 225)
Inequivalent atoms, fractional coordinates:
Tb 0.000 0.000 0.221 [24 per cell]
Dy 0.000 0.000 0.500 [4 per cell]
Dy 0.000 0.250 0.250 [24 per cell]
Tm 0.123 0.123 0.377 [32 per cell]
Tm 0.153 0.153 0.153 [32 per cell]

Values from the calculation:
Electronic total energy   -4.281 eV per atom
Crystal system   cubic
Spin magnetization   26.324 Bohr magnetons per cell
Calculated volume   32.4 Å³ per atom
ΔH_f (0 K)   24.60 kJ/mol of atoms



[10]
Tb8DyTm6 | PBE-GGA | relaxed

Lattice parameters (Å, degrees): 8.9429 8.9429 20.4633 90.00 90.00 120.00
Space group R-3 (No. 148, hexagonal axes)
Inequivalent atoms, fractional coordinates:
Tb 0.0000 0.0000 0.0769 [6 per cell]
Tb 0.0815 0.5277 0.3080 [18 per cell]
Dy 0.0000 0.0000 0.5000 [3 per cell]
Tm 0.0564 0.8106 0.2062 [18 per cell]

Values from the calculation:
Electronic total energy   -4.432 eV per atom
Crystal system   trigonal
Spin magnetization   0.000 Bohr magnetons per cell
Calculated volume   31.5 Å³ per atom
ΔH_f (0 K)   12.83 kJ/mol of atoms
Offset from the most stable computed form   0.000 eV per atom



[11]
Tb2Dy8Tm | PBE-GGA | relaxed

Lattice parameters (Å, degrees): 16.385 6.612 6.602 90.00 100.50 90.00
Space group C2/m (No. 12)
Inequivalent atoms, fractional coordinates:
Tb 0.199 0.000 0.300 [4 per cell]
Dy 0.088 0.262 0.903 [8 per cell]
Dy 0.090 0.500 0.407 [4 per cell]
Dy 0.244 0.000 0.810 [4 per cell]
Tm 0.000 0.000 0.500 [2 per cell]

Values from the calculation:
Electronic total energy   -4.423 eV per atom
Crystal system   monoclinic
Spin magnetization   0.000 Bohr magnetons per cell
Calculated volume   32.0 Å³ per atom
ΔH_f (0 K)   16.64 kJ/mol of atoms
Offset from the most stable computed form   0.000 eV per atom



[12]
TbDy8Tm4 | PBE-GGA | relaxed

Lattice parameters (Å, degrees): 7.1987 7.1987 27.1872 90.00 90.00 120.00
Space group R-3m (No. 166, hexagonal axes)
Inequivalent atoms, fractional coordinates:
Tb 0.0000 0.0000 0.0000 [3 per cell]
Dy 0.0000 0.0000 0.2839 [6 per cell]
Dy 0.0346 0.5173 0.2665 [18 per cell]
Tm 0.0000 0.0000 0.5000 [3 per cell]
Tm 0.0000 0.5000 0.5000 [9 per cell]

Values from the calculation:
Electronic total energy   -4.347 eV per atom
Crystal system   trigonal
Spin magnetization   0.000 Bohr magnetons per cell
Calculated volume   31.3 Å³ per atom
ΔH_f (0 K)   20.97 kJ/mol of atoms